VASP calculation (PBE) on Pt3Se after structural relaxation.

The structure belongs to space group Cmmm (No. 65); the cell edges are 6.835, 6.843 and 2.814 Å and the angles 90.00°, 90.00° and 90.00°. The asymmetric unit holds Pt at (0.000, 0.000, 0.000), Pt at (0.250, 0.250, 0.500) and Se at (0.000, 0.500, 0.000).

The volume comes out at 16.453 Å³ per atom. The uncorrected formation energy is 0.15 eV per atom.